# 1
The following is a PBE-GGA calculation of an optimized crystal structure of Zn2Pd3Pt2, from the Alexandria database.

Calculated values
Energy above the most stable polymorph in this dataset in meV/atom: 64
Space-group type: Cmmm (65)
Magnetization in μB/cell: 0.00
Calculated formation energy in meV/atom: -278

a b c (Å): 10.9080 10.9080 3.6558
angles (deg): 90.00 90.00 165.30
Closest atoms and distances in Å follow each position.
Fractional positions:
Zn1 0.1349 0.8651 0.0000  4 Pt 2.67, 5 Pd 2.69-2.92, 2 Zn 2.79
Zn2 0.8651 0.1349 0.0000  4 Pt 2.67, 5 Pd 2.69-2.92, 2 Zn 2.79
Pd1 0.0000 0.0000 0.0000  10 Pd 2.76-2.79, 2 Zn 2.92
Pd2 0.4293 0.5707 0.5000  4 Zn 2.69, 1 Pt 2.75, 6 Pd 2.76-2.79
Pd3 0.5707 0.4293 0.5000  4 Zn 2.69, 1 Pt 2.75, 6 Pd 2.76-2.79
Pt1 0.3020 0.6980 0.5000  4 Pt 2.65-2.79, 4 Zn 2.67, 1 Pd 2.75
Pt2 0.6980 0.3020 0.5000  4 Pt 2.65-2.79, 4 Zn 2.67, 1 Pd 2.75

# 2
The following is a PBE-GGA calculation of an optimized crystal structure of Li4PtPb, from the Alexandria database.

Calculated values
Energy above the most stable polymorph in this dataset in meV/atom: 65
Space-group type: C2/m (12)
Magnetization in μB/cell: 0.00
Calculated formation energy in meV/atom: -332

a b c (Å): 7.1641 7.1641 5.0519
angles (deg): 102.98 102.98 58.29
Closest atoms and distances in Å follow each position.
Fractional positions:
Li1 0.0814 0.6779 0.4224  1 Pt 2.57, 2 Li 2.69-2.82
Li2 0.1985 0.8015 0.0000  2 Pt 2.54, 1 Li 2.77
Li3 0.3221 0.9186 0.5776  1 Pt 2.57, 2 Li 2.69-2.82
Li4 0.3349 0.3349 0.7130  2 Pt 2.59-2.64, 2 Li 2.69, 1 Pb 2.85
Li5 0.6651 0.6651 0.2870  2 Pt 2.59-2.64, 2 Li 2.69, 1 Pb 2.85
Li6 0.6779 0.0814 0.4224  1 Pt 2.57, 2 Li 2.69-2.82
Li7 0.8015 0.1985 0.0000  2 Pt 2.54, 1 Li 2.77
Li8 0.9186 0.3221 0.5776  1 Pt 2.57, 2 Li 2.69-2.82
Pt1 0.4531 0.4531 0.2288  6 Li 2.54-2.64, 1 Pt 2.69
Pt2 0.5469 0.5469 0.7712  6 Li 2.54-2.64, 1 Pt 2.69
Pb1 0.2148 0.2148 0.1220  10 Li 2.85-3.17, 1 Pt 2.89
Pb2 0.7852 0.7852 0.8780  10 Li 2.85-3.17, 1 Pt 2.89

# 3
The following is a PBE-GGA calculation of an optimized crystal structure of Pm3YPt, from the Alexandria database.

Calculated values
Space-group type: P2_1/m (11)
Magnetization in μB/cell: 0.00
Calculated formation energy in meV/atom: -431

a b c (Å): 6.5599 5.1942 8.9057
angles (deg): 90.00 96.54 90.00
Closest atoms and distances in Å follow each position.
Fractional positions:
Pm1 0.1098 0.2500 0.2886  1 Pt 2.93
Pm2 0.2790 0.7500 0.0567  1 Pt 2.79
Pm3 0.3210 0.7500 0.4809  1 Pt 2.83
Pm4 0.6790 0.2500 0.5191  1 Pt 2.83
Pm5 0.7210 0.2500 0.9433  1 Pt 2.79
Pm6 0.8902 0.7500 0.7114  1 Pt 2.93
Y1 0.2356 0.2500 0.7492  2 Pt 3.02
Y2 0.7644 0.7500 0.2508  2 Pt 3.02
Pt1 0.4700 0.7500 0.7919  3 Pm 2.79-2.93, 2 Y 3.02
Pt2 0.5300 0.2500 0.2081  3 Pm 2.79-2.93, 2 Y 3.02

# 4
The following is a PBE-GGA calculation of an optimized crystal structure of La3BiN, from the Alexandria database.

Calculated values
Formation energy without anion corrections in eV per atom: -0.1739
Space-group type: P4mm (99)
Magnetization in μB/cell: 0.00

a b c (Å): 4.9340 4.9340 8.6573
angles (deg): 90.00 90.00 90.00
Closest atoms and distances in Å follow each position.
Fractional positions:
La1 0.0000 0.0000 0.0000  1 Bi 3.02
La2 0.0000 0.5000 0.6115  2 N 2.48
La3 0.5000 0.0000 0.6115  2 N 2.48
Bi1 0.0000 0.0000 0.3494  5 La 3.02-3.35
N1 0.5000 0.5000 0.6425  4 La 2.48

# 5
The following is a PBE-GGA calculation of an optimized crystal structure of NaAgPbAu, from the Alexandria database.

Calculated values
Space-group type: F-43m (216)
Magnetization in μB/cell: 0.00
Calculated formation energy in meV/atom: -127

a b c (Å): 5.0115 5.0115 5.0115
angles (deg): 60.00 60.00 60.00
Closest atoms and distances in Å follow each position.
Fractional positions:
Na1 0.0000 0.0000 0.0000  4 Ag 3.07, 4 Au 3.07
Ag1 0.2500 0.2500 0.2500  4 Pb 3.07, 4 Na 3.07
Pb1 0.5000 0.5000 0.5000  4 Au 3.07, 4 Ag 3.07
Au1 0.7500 0.7500 0.7500  4 Pb 3.07, 4 Na 3.07

# 6
The following is a PBE-GGA calculation of an optimized crystal structure of BaTlIn6, from the Alexandria database.

Calculated values
Space-group type: Amm2 (38)
Magnetization in μB/cell: 0.00
Calculated formation energy in meV/atom: -141

a b c (Å): 5.3776 6.9080 6.9080
angles (deg): 70.40 90.00 90.00
Closest atoms and distances in Å follow each position.
Fractional positions:
Ba1 0.0000 0.0000 0.0000  10 In 3.44-3.63
Tl1 0.5000 0.7461 0.7461  10 In 3.41-3.61
In1 0.0000 0.0788 0.4806  7 In 3.20-3.55, 2 Ba 3.44-3.54
In2 0.0000 0.4806 0.0788  7 In 3.20-3.55, 2 Ba 3.44-3.54
In3 0.0000 0.5609 0.5609  8 In 3.28-3.55, 2 Tl 3.41
In4 0.5000 0.2084 0.2084  6 In 3.23-3.32, 2 Ba 3.57
In5 0.5000 0.2721 0.6646  6 In 3.13-3.43, 1 Tl 3.49
In6 0.5000 0.6646 0.2721  6 In 3.13-3.43, 1 Tl 3.49

| no. | DFT total energy (eV/atom) | mass density (g cm⁻³) |
| --- | --- | --- |
| 1 | -4.594 | 12.6 |
| 2 | -3.233 | 6.7 |
| 3 | -5.782 | 7.9 |
| 4 | -5.572 | 5.0 |
| 5 | -2.916 | 10.0 |
| 6 | -2.731 | 7.1 |